Entry 1:
DFT (PBEsol) results for a geometry-optimized TlCrHg2 structure.

## Properties
**Energy of formation from the pure elements**: 389 meV/atom
**Uncorrected energy**: -12.45 eV per formula unit
**Total magnetic moment**: 1.029 μB per atom

Structure (POSCAR):
```
TlCrHg2
1.0
3.280 0.000 0.000
0.000 4.590 0.000
0.000 0.000 5.772
Tl Cr Hg
1 1 2
Cartesian
0.000 0.000 0.000
0.000 2.295 2.015
1.640 0.000 2.674
1.640 2.295 4.537
```

Entry 2:
DFT (PBEsol) results for a geometry-optimized TlCrHg2 structure.

## Properties
**Energy of formation from the pure elements**: 378 meV/atom
**Uncorrected energy**: -12.50 eV per formula unit
**Total magnetic moment**: 1.005 μB per atom

Structure (POSCAR):
```
TlCrHg2
1.0
3.227 0.000 0.000
0.000 3.227 0.000
0.000 0.000 8.118
Tl Cr Hg
1 1 2
Cartesian
0.000 0.000 0.000
1.614 1.614 6.167
0.000 0.000 4.475
1.614 1.614 2.335
```

Entry 3:
DFT (PBEsol) results for a geometry-optimized Tl2CrHg structure.

## Properties
**Energy of formation from the pure elements**: 450 meV/atom
**Uncorrected energy**: -14.27 eV per formula unit
**Total magnetic moment**: 1.063 μB per atom

Structure (POSCAR):
```
Tl2CrHg
1.0
-2.226 2.226 4.543
2.226 -2.226 4.543
2.226 2.226 -4.543
Tl Cr Hg
2 1 1
Cartesian
0.000 0.000 0.000
0.000 2.226 2.271
0.000 0.000 4.543
2.226 0.000 2.271
```

Entry 4:
DFT (PBEsol) results for a geometry-optimized TlCrHg2 structure.

## Properties
**Energy of formation from the pure elements**: 403 meV/atom
**Uncorrected energy**: -12.39 eV per formula unit
**Total magnetic moment**: 1.025 μB per atom

Structure (POSCAR):
```
TlCrHg2
1.0
4.340 0.000 0.000
0.000 4.340 0.000
0.000 0.000 4.440
Tl Cr Hg
1 1 2
Cartesian
0.000 0.000 0.000
2.170 2.170 0.000
0.000 2.170 2.220
2.170 0.000 2.220
```